Record 1
28
Lattice="-6.444 -1.707 5.441 6.965 -5.047 -0.247 6.573 8.707 3.649" Properties=species:S:1:pos:R:3 comment="Ac2Zn3Cd9, optimized geometry, DFT PBE" dft_energy_ev_per_atom=-1.635 formation_enthalpy_0k_ev_per_atom=-0.1873 vol_a3_per_cell=661.4 m_tot_mub_per_cell=0.00 sg="No. 15" pbc="T T T"
Zn 3.547 0.976 4.421
Cd 5.645 -1.027 3.966
Cd 0.162 4.392 7.477
Ac 4.539 4.724 4.533
Cd 2.929 2.786 2.219
Zn -0.985 1.949 6.552
Cd 12.238 3.075 3.919
Zn 7.913 6.484 4.543
Ac 2.533 1.841 7.999
Cd 6.931 -2.439 1.366
Cd 7.649 3.869 5.691
Ac 2.555 -2.771 4.310
Ac 4.560 0.111 0.843
Cd 1.523 0.118 2.499
Cd 8.366 0.976 4.947
Cd 4.164 -0.834 6.624
Zn -0.820 -4.532 4.300
Cd 3.076 5.216 7.586
Cd -1.273 0.977 3.896
Cd 1.449 2.980 4.877
Cd 5.571 1.835 6.344
Cd 6.058 1.917 3.312
Cd 1.035 0.035 5.531
Zn 8.079 0.003 2.290
Zn -3.222 -0.854 2.720
Cd -0.556 -1.916 3.152
Cd 4.017 -3.263 1.256
Cd -5.145 -1.123 4.923

---

Record 2
18
Lattice="-2.686 0.085 -9.102 -6.216 -4.695 5.421 0.403 8.827 3.462" Properties=species:S:1:pos:R:3 comment="Ac6Zn2Cd, optimized geometry, DFT PBE" dft_energy_ev_per_atom=-3.263 formation_enthalpy_0k_ev_per_atom=-0.1388 vol_a3_per_cell=656.4 m_tot_mub_per_cell=0.00 sg="No. 71" pbc="T T T"
Ac -3.665 -0.638 -5.829
Cd 0.000 0.000 0.000
Ac -2.834 0.345 -2.015
Ac -6.584 1.419 4.907
Zn -1.479 5.774 -3.654
Ac -4.834 4.855 5.610
Ac -6.888 -1.754 -3.691
Ac -6.631 1.471 -1.296
Ac -3.961 4.254 -1.999
Zn -3.377 6.046 0.597
Ac -1.914 2.799 -5.127
Cd -2.906 2.066 4.441
Zn -5.121 -1.828 -0.816
Zn -0.804 3.139 -1.986
Ac -5.665 3.873 1.796
Ac -4.538 -0.036 1.780
Ac -1.867 2.746 1.077
Ac -1.611 5.972 3.472